Below is crystalline Sm2Ho5Sc at its relaxed geometry, with properties calculated at the GGA-PBE level.

The structure in POSCAR format:
```
Sm2Ho5Sc
1.0
5.554 -2.494 0.000
5.554 2.494 0.000
-4.472 0.000 8.895
Sm Ho Sc
2 5 1
Direct
0.001 0.001 0.247
0.999 0.999 0.753
0.250 0.250 0.122
0.251 0.251 0.628
0.500 0.500 0.500
0.749 0.749 0.372
0.750 0.750 0.878
0.500 0.500 0.000
```

Summary:
Symmetry: C2/m (12)
Electronic total energy in eV per atom: -4.80
Calculated formation energy in eV/atom: 0.0327

---

Below is crystalline SmHo6Sc4 at its relaxed geometry, with properties calculated at the GGA-PBE level.

The structure in POSCAR format:
```
SmHo6Sc4
1.0
-3.175 3.175 8.266
3.175 -3.175 8.266
3.175 3.175 -8.266
Sm Ho Sc
1 6 4
Direct
0.000 0.000 0.000
0.000 0.500 0.500
0.011 0.633 0.000
0.367 0.367 0.378
0.500 0.000 0.500
0.633 0.011 0.000
0.989 0.989 0.622
0.198 0.198 0.650
0.452 0.802 0.000
0.548 0.548 0.350
0.802 0.452 0.000
```

Summary:
Symmetry: I-42m (121)
Electronic total energy in eV per atom: -4.90
Calculated formation energy in eV/atom: 0.3317

---

Below is crystalline SmHoSc at its relaxed geometry, with properties calculated at the GGA-PBE level.

The structure in POSCAR format:
```
SmHoSc
1.0
5.499 0.000 0.000
-2.749 4.762 0.000
0.000 0.000 3.384
Sm Ho Sc
1 1 1
Direct
0.000 0.000 0.000
0.333 0.667 0.500
0.667 0.333 0.500
```

Summary:
Polymorph energy (0 for the lowest one) in meV per atom: 31.1
Symmetry: P-6m2 (187)
Electronic total energy in eV per atom: -5.13
Calculated formation energy in eV/atom: 0.0799

---

Below is crystalline Sm8HoSc2 at its relaxed geometry, with properties calculated at the GGA-PBE level.

The structure in POSCAR format:
```
Sm8HoSc2
1.0
4.481 -8.018 0.000
4.481 8.018 0.000
-3.122 0.000 4.938
Sm Ho Sc
8 1 2
Direct
0.097 0.336 0.672
0.208 0.792 0.000
0.336 0.097 0.672
0.422 0.422 0.206
0.578 0.578 0.794
0.664 0.903 0.328
0.792 0.208 0.000
0.903 0.664 0.328
0.000 0.000 0.000
0.310 0.690 0.500
0.690 0.310 0.500
```

Summary:
Polymorph energy (0 for the lowest one) in meV per atom: 36.3
Symmetry: C2/m (12)
Electronic total energy in eV per atom: -4.84
Calculated formation energy in eV/atom: 0.1613

---

Below is crystalline Sm3Ho6Sc at its relaxed geometry, with properties calculated at the GGA-PBE level.

The structure in POSCAR format:
```
Sm3Ho6Sc
1.0
5.440 -9.410 0.000
5.440 9.410 0.000
0.000 0.000 6.200
Sm Ho Sc
6 12 2
Direct
0.112 0.888 0.500
0.220 0.445 0.113
0.445 0.220 0.613
0.555 0.780 0.113
0.780 0.555 0.613
0.888 0.112 0.000
0.037 0.457 0.702
0.119 0.211 0.525
0.211 0.119 0.025
0.222 0.778 0.933
0.453 0.547 0.655
0.457 0.037 0.202
0.543 0.963 0.702
0.547 0.453 0.155
0.778 0.222 0.433
0.789 0.881 0.525
0.881 0.789 0.025
0.963 0.543 0.202
0.295 0.705 0.437
0.705 0.295 0.937
```

Summary:
Polymorph energy (0 for the lowest one) in meV per atom: 0.0
Symmetry: Cmc2_1 (36)
Electronic total energy in eV per atom: -4.65
Calculated formation energy in eV/atom: 0.1471

---

Below is crystalline SmHo3Sc4 at its relaxed geometry, with properties calculated at the GGA-PBE level.

The structure in POSCAR format:
```
SmHo3Sc4
1.0
10.794 0.000 0.000
0.000 6.957 0.000
0.000 0.000 6.008
Sm Ho Sc
2 6 8
Direct
0.000 0.134 0.000
0.500 0.866 0.500
0.000 0.866 0.499
0.250 0.135 0.343
0.250 0.865 0.843
0.500 0.134 0.999
0.750 0.135 0.343
0.750 0.865 0.843
0.000 0.384 0.508
0.000 0.616 0.008
0.248 0.616 0.335
0.252 0.384 0.835
0.500 0.384 0.508
0.500 0.616 0.008
0.748 0.384 0.835
0.752 0.616 0.335
```

Summary:
Symmetry: Pmn2_1 (31)
Electronic total energy in eV per atom: -5.44
Calculated formation energy in eV/atom: 0.0312

---

Below is crystalline SmHoSc2 at its relaxed geometry, with properties calculated at the GGA-PBE level.

The structure in POSCAR format:
```
SmHoSc2
1.0
3.439 0.000 0.000
-1.720 2.979 0.000
0.000 0.000 10.959
Sm Ho Sc
1 1 2
Direct
0.000 0.000 0.000
0.000 0.000 0.500
0.333 0.667 0.252
0.667 0.333 0.748
```

Summary:
Polymorph energy (0 for the lowest one) in meV per atom: 0.0
Symmetry: P-3m1 (164)
Electronic total energy in eV per atom: -5.44
Calculated formation energy in eV/atom: 0.0485

---

Below is crystalline Sm5Ho4Sc2 at its relaxed geometry, with properties calculated at the GGA-PBE level.

The structure in POSCAR format:
```
Sm5Ho4Sc2
1.0
8.741 0.000 0.000
0.000 3.491 0.000
-0.760 0.000 11.315
Sm Ho Sc
5 4 2
Direct
0.000 0.000 0.000
0.071 0.000 0.303
0.311 0.000 0.837
0.689 0.000 0.163
0.929 0.000 0.697
0.234 0.500 0.555
0.338 0.500 0.120
0.662 0.500 0.880
0.766 0.500 0.445
0.442 0.000 0.368
0.558 0.000 0.632
```

Summary:
Polymorph energy (0 for the lowest one) in meV per atom: 0.0
Symmetry: P2/m (10)
Electronic total energy in eV per atom: -4.87
Calculated formation energy in eV/atom: 0.0862

---

Look up the calculated formation energy of the first one.
0.0327 eV/atom